a | Below is a relaxed structure of Pm12Y5Er2, with properties calculated at the PBE-GGA level.

Unit cell a=10.6906 b=10.6906 c=6.2331 alpha=100.28 beta=100.28 gamma=66.64
Sites, in units of the cell vectors:
Pm  0.0481  0.5595  0.8024
Pm  0.0549  0.0549  0.2743
Pm  0.1475  0.6452  0.3824
Pm  0.3548  0.8525  0.6176
Pm  0.3816  0.3816  0.9961
Pm  0.4405  0.9519  0.1976
Pm  0.5595  0.0481  0.8024
Pm  0.6184  0.6184  0.0039
Pm  0.6452  0.1475  0.3824
Pm  0.8525  0.3548  0.6176
Pm  0.9451  0.9451  0.7257
Pm  0.9519  0.4405  0.1976
Y  0.1765  0.1765  0.8614
Y  0.2832  0.2832  0.4434
Y  0.5000  0.5000  0.5000
Y  0.7168  0.7168  0.5566
Y  0.8235  0.8235  0.1386
Er  0.2670  0.7330  0.0000
Er  0.7330  0.2670  0.0000

Output
The calculation puts the density of states at the Fermi level at 27.7 states/eV/f.u.

=====

b | Below is a relaxed structure of Pm12Y5Er2, with properties calculated at the PBE-GGA level.

Unit cell a=11.7181 b=11.7181 c=8.7506 alpha=109.26 beta=109.26 gamma=35.33
Sites, in units of the cell vectors:
Pm  0.0464  0.5531  0.7057
Pm  0.0480  0.0480  0.1941
Pm  0.1374  0.6512  0.1148
Pm  0.3488  0.8626  0.8852
Pm  0.3567  0.3567  0.4372
Pm  0.4469  0.9536  0.2943
Pm  0.5531  0.0464  0.7057
Pm  0.6433  0.6433  0.5628
Pm  0.6512  0.1374  0.1148
Pm  0.8626  0.3488  0.8852
Pm  0.9520  0.9520  0.8059
Pm  0.9536  0.4469  0.2943
Y  0.1499  0.1499  0.5971
Y  0.2510  0.2510  0.0093
Y  0.5000  0.5000  0.0000
Y  0.7490  0.7490  0.9907
Y  0.8501  0.8501  0.4029
Er  0.2429  0.7571  0.5000
Er  0.7571  0.2429  0.5000

Output
The calculation puts the density of states at the Fermi level at 27.2 states/eV/f.u.

=====

a wins, 40 meV per atom ahead of the next structure.

=====

a | Below is a relaxed structure of Pm4Y3Er, with properties calculated at the PBE-GGA level.

Unit cell a=11.5328 b=7.3378 c=6.3347 alpha=90.00 beta=90.00 gamma=90.00
Sites, in units of the cell vectors:
Pm  0.0000  0.1259  0.0000
Pm  0.0000  0.8740  0.4963
Pm  0.2482  0.8734  0.8293
Pm  0.2518  0.1266  0.3293
Pm  0.5000  0.1260  0.9963
Pm  0.5000  0.8741  0.5000
Pm  0.7482  0.1266  0.3293
Pm  0.7518  0.8734  0.8293
Y  0.0000  0.3767  0.4958
Y  0.2499  0.3770  0.8301
Y  0.2501  0.6230  0.3301
Y  0.5000  0.6233  0.9958
Y  0.7501  0.3770  0.8301
Y  0.7499  0.6230  0.3301
Er  0.0000  0.6223  0.9950
Er  0.5000  0.3777  0.4950

Output
The calculation puts the density of states at the Fermi level at 15.1 states/eV/f.u.

=====

b | Below is a relaxed structure of Pm4Y3Er, with properties calculated at the PBE-GGA level.

Unit cell a=11.9514 b=11.9514 c=6.8035 alpha=106.27 beta=106.27 gamma=16.81
Sites, in units of the cell vectors:
Pm  0.1238  0.1238  0.3687
Pm  0.2597  0.2597  0.7621
Pm  0.7403  0.7403  0.2379
Pm  0.8762  0.8762  0.6313
Y  0.0000  0.0000  0.5000
Y  0.1229  0.1229  0.8818
Y  0.8771  0.8771  0.1182
Er  0.5000  0.5000  0.0000

Output
The calculation puts the density of states at the Fermi level at 14.3 states/eV/f.u.

=====

a wins, 145 meV per atom ahead of the next structure.

=====

a | Below is a relaxed structure of Pm2Y12Er5, with properties calculated at the PBE-GGA level.

Unit cell a=6.7324 b=8.8438 c=11.3623 alpha=110.88 beta=92.45 gamma=100.64
Sites, in units of the cell vectors:
Pm  0.1185  0.2654  0.0140
Pm  0.8815  0.7346  0.9860
Y  0.1098  0.6931  0.2257
Y  0.1176  0.8526  0.7622
Y  0.1643  0.4438  0.5858
Y  0.3378  0.4294  0.3127
Y  0.3474  0.0261  0.1347
Y  0.3840  0.2193  0.7548
Y  0.6160  0.7807  0.2452
Y  0.6526  0.9739  0.8653
Y  0.6622  0.5706  0.6873
Y  0.8357  0.5562  0.4142
Y  0.8824  0.1474  0.2378
Y  0.8902  0.3069  0.7743
Er  0.0000  0.0000  0.5000
Er  0.3439  0.6154  0.9310
Er  0.4586  0.8190  0.5367
Er  0.5414  0.1810  0.4633
Er  0.6561  0.3846  0.0690

Output
The calculation puts the density of states at the Fermi level at 29.4 states/eV/f.u.

=====

b | Below is a relaxed structure of Pm2Y12Er5, with properties calculated at the PBE-GGA level.

Unit cell a=9.1136 b=9.1136 c=8.5581 alpha=90.99 beta=90.99 gamma=61.38
Sites, in units of the cell vectors:
Pm  0.1800  0.8200  0.0000
Pm  0.8200  0.1800  0.0000
Y  0.0579  0.0579  0.3290
Y  0.0649  0.6806  0.3453
Y  0.1648  0.5251  0.7593
Y  0.3194  0.9351  0.6547
Y  0.4103  0.4103  0.1206
Y  0.4749  0.8352  0.2407
Y  0.5251  0.1648  0.7593
Y  0.5897  0.5897  0.8794
Y  0.6806  0.0649  0.3453
Y  0.8352  0.4749  0.2407
Y  0.9351  0.3194  0.6547
Y  0.9421  0.9421  0.6710
Er  0.1981  0.1981  0.0115
Er  0.2686  0.2686  0.4247
Er  0.5000  0.5000  0.5000
Er  0.7314  0.7314  0.5753
Er  0.8019  0.8019  0.9885

Output
The calculation puts the density of states at the Fermi level at 29.5 states/eV/f.u.

=====

a wins, 45 meV per atom ahead of the next structure.